Material: Sm6Ti3S14
Method: DFT, PBE
State: optimized geometry

The space group is P3 (No. 143) and the conventional cell measures 10.0304, 10.0304 and 5.8748 Å, with angles of 90.00, 90.00 and 120.00 degrees. The distinct sites, in fractional coordinates, are Sm at (0.0271, 0.4695, 0.0000), Sm at (0.3033, 0.1956, 0.4989), Ti at (0.0000, 0.0000, 0.0822), Ti at (0.3333, 0.6667, 0.5880), Ti at (0.6667, 0.3333, 0.7123), S at (0.0000, 0.0000, 0.6960), S at (0.0878, 0.2392, 0.2299), S at (0.1841, 0.7557, 0.7369), S at (0.3333, 0.6667, 0.2018), S at (0.4243, 0.2396, 0.9509) and S at (0.5141, 0.0893, 0.4838).

The calculation puts the raw formation energy at -1.77 eV per atom. The calculation puts the density of states at the Fermi level at 4.5 states/eV/cell.